This record from the Alexandria database describes crystalline BaZn6Rh3 at its relaxed geometry. The functional is GGA-PBE.

a b c (Å): 5.5475 5.5443 7.3449
angles (deg): 89.99 111.90 119.98
Last column: nearest neighbours and their distance in Å.
Positions (direct):
1 Ba 0.9474 0.9736 0.9236  7 Rh 2.94-3.23
2 Rh 0.6426 0.3213 0.9631  6 Zn 2.65-2.66
3 Zn 0.6860 0.5960 0.2811  4 Rh 2.65-2.84, 6 Zn 2.74-2.92
4 Zn 0.2625 0.3874 0.6493  3 Rh 2.49-2.65, 2 Zn 2.70
5 Zn 0.6862 0.0900 0.2811  4 Rh 2.65-2.84, 6 Zn 2.74-2.92
6 Zn 0.2626 0.8751 0.6493  3 Rh 2.49-2.65, 2 Zn 2.70
7 Zn 0.1900 0.5951 0.2820  4 Rh 2.66-2.83, 6 Zn 2.75-2.90
8 Zn 0.7751 0.3875 0.6482  3 Rh 2.49-2.65, 2 Zn 2.70
9 Rh 0.3007 0.6503 0.9554  6 Zn 2.56-2.69
10 Rh 0.2471 0.1236 0.3669  3 Zn 2.49

SG ... Cm
VASP energy ... -0.1250 Ha/atom
Calculated formation energy ... -0.239 eV/atom
Density ... 7.884 g cm⁻³
Magnetization ... 0.00 Bohr magnetons per cell